1.
PBE-GGA Ca2Pr3Nd6, optimized geometry; DFT total energy = -4.243 eV per atom; energy of formation = 0.02 eV per atom; space-group type = R-3m; calculated density = 5.6 g/cm³
1.0
1.8575 1.0724 33.6967
-1.8575 1.0724 33.6967
0.0000 -2.1448 33.6967
Ca Pr Nd
2 3 6
direct
0.0460 0.0460 0.0460
0.9540 0.9540 0.9540
0.2265 0.2265 0.2265
0.5000 0.5000 0.5000
0.7735 0.7735 0.7735
0.1369 0.1369 0.1369
0.3191 0.3191 0.3191
0.4110 0.4110 0.4110
0.5890 0.5890 0.5890
0.6809 0.6809 0.6809
0.8631 0.8631 0.8631

***

2.
PBE-GGA Y6BiSb3Te2, optimized geometry; DFT total energy = -6.319 eV per atom; space-group type = C2/m; calculated density = 6.3 g/cm³; E_form (uncorrected) = -1.2098 eV/atom
1.0
9.5968 -2.2013 0.0000
9.5968 2.2013 0.0000
-2.0418 0.0000 8.5626
Y Bi Sb Te
6 1 3 2
direct
0.0023 0.0023 0.2466
0.3320 0.3320 0.4236
0.3363 0.3363 0.9107
0.6637 0.6637 0.0893
0.6680 0.6680 0.5764
0.9977 0.9977 0.7534
0.5000 0.5000 0.5000
0.1675 0.1675 0.3327
0.5000 0.5000 0.0000
0.8325 0.8325 0.6673
0.1675 0.1675 0.8347
0.8325 0.8325 0.1653

***

3.
PBE-GGA CdSiAu2, optimized geometry; DFT total energy = -3.167 eV per atom; space-group type = P2/m; energy above the most stable polymorph in this dataset = 5.2 kJ per mole of atoms; calculated density = 11.5 g/cm³; E_form (uncorrected) = 0.0562 eV/atom
1.0
2.8734 0.0000 0.0000
0.0000 3.9437 0.0000
-0.0228 0.0000 6.7909
Cd Si Au
1 1 2
direct
0.0000 0.0000 0.0000
0.5000 0.0000 0.5000
0.4986 0.5000 0.7443
0.5014 0.5000 0.2557